(1)
Sm7NiCl12: relaxed, PBE-GGA.

Unit cell a=9.0293 b=9.0293 c=9.0293 alpha=107.54 beta=107.54 gamma=107.54
Site moments in Bohr magnetons follow the coordinates.
Fractional coordinates of all 20 atoms:
Sm 0.9725 0.6786 0.8836  0.02
Sm 0.3214 0.1164 0.0275  0.02
Sm 0.1164 0.0275 0.3214  0.02
Sm 0.5000 0.5000 0.5000  0.21
Sm 0.8836 0.9725 0.6786  0.02
Sm 0.6786 0.8836 0.9725  0.02
Sm 0.0275 0.3214 0.1164  0.02
Ni 0.0000 0.0000 0.0000  0.06
Cl 0.9226 0.3146 0.7870  0.00
Cl 0.6854 0.2130 0.0774  0.00
Cl 0.4720 0.1675 0.3837  0.00
Cl 0.8325 0.6163 0.5280  0.00
Cl 0.2130 0.0774 0.6854  0.00
Cl 0.6163 0.5280 0.8325  0.00
Cl 0.3837 0.4720 0.1675  0.00
Cl 0.7870 0.9226 0.3146  0.00
Cl 0.1675 0.3837 0.4720  0.00
Cl 0.5280 0.8325 0.6163  0.00
Cl 0.3146 0.7870 0.9226  0.00
Cl 0.0774 0.6854 0.2130  0.00

Calculated values
Formation energy without anion corrections (eV per atom): -1.8749

---

(2)
Sm2NiCl2: relaxed, PBE-GGA.

Unit cell a=3.9270 b=3.9261 c=11.0866 alpha=80.80 beta=79.80 gamma=59.99
Fractional coordinates of all 5 atoms:
Sm 0.7220 0.2077 0.3483
Sm 0.2780 0.7923 0.6517
Ni 0.0000 0.5000 0.5000
Cl 0.4485 0.9186 0.1844
Cl 0.5515 0.0814 0.8156

Calculated values
Formation energy without anion corrections (eV per atom): -1.3098

---

(3)
Sm4NiCl5: relaxed, PBE-GGA.

Unit cell a=3.9441 b=8.3273 c=9.3150 alpha=104.47 beta=102.22 gamma=90.00
Fractional coordinates of all 10 atoms:
Sm 0.3469 0.9043 0.6938
Sm 0.0007 0.7767 0.0013
Sm 0.6531 0.0957 0.3062
Sm 0.9993 0.2233 0.9987
Ni 0.5000 0.0000 0.0000
Cl 0.8337 0.6589 0.6674
Cl 0.8265 0.1418 0.6531
Cl 0.1735 0.8582 0.3469
Cl 0.5000 0.5000 0.0000
Cl 0.1663 0.3411 0.3326

Calculated values
Formation energy without anion corrections (eV per atom): -1.6048
Polymorph energy (0 for the lowest one) (meV/atom): 0

---

(4)
Ni5Sn3Cl12: relaxed, PBE-GGA.

Unit cell a=13.2584 b=13.2584 c=13.2584 alpha=109.47 beta=109.47 gamma=109.47
Site moments in Bohr magnetons follow the coordinates.
Fractional coordinates of all 80 atoms:
Sn 0.7500 0.3750 0.1250  -0.01
Sn 0.8750 0.7500 0.1250  -0.01
Sn 0.3750 0.7500 0.6250  -0.01
Sn 0.2500 0.1250 0.3750  -0.01
Sn 0.8750 0.1250 0.2500  -0.01
Sn 0.3750 0.6250 0.2500  -0.01
Sn 0.6250 0.3750 0.7500  -0.01
Sn 0.1250 0.8750 0.7500  -0.01
Sn 0.7500 0.8750 0.6250  -0.01
Sn 0.6250 0.2500 0.3750  -0.01
Sn 0.1250 0.2500 0.8750  -0.01
Sn 0.2500 0.6250 0.8750  -0.01
Ni 0.1250 0.3750 0.2500  0.95
Ni 0.0000 0.5000 0.0000  1.13
Ni 0.0000 0.0000 0.0000  1.13
Ni 0.3750 0.2500 0.1250  0.95
Ni 0.5000 0.0000 0.5000  1.13
Ni 0.5000 0.5000 0.0000  1.13
Ni 0.1250 0.7500 0.3750  0.95
Ni 0.7500 0.1250 0.8750  0.95
Ni 0.7500 0.6250 0.3750  0.95
Ni 0.3750 0.1250 0.7500  0.95
Ni 0.6250 0.8750 0.2500  0.95
Ni 0.5000 0.5000 0.5000  1.13
Ni 0.5000 0.0000 0.0000  1.13
Ni 0.0000 0.0000 0.5000  1.13
Ni 0.2500 0.3750 0.6250  0.95
Ni 0.2500 0.8750 0.1250  0.95
Ni 0.0000 0.5000 0.5000  1.13
Ni 0.8750 0.2500 0.6250  0.95
Ni 0.6250 0.7500 0.8750  0.95
Ni 0.8750 0.6250 0.7500  0.95
Cl 0.7019 0.1160 0.0227  0.06
Cl 0.3209 0.5227 0.4068  0.06
Cl 0.9773 0.3840 0.2981  0.06
Cl 0.5227 0.2019 0.1160  0.06
Cl 0.5859 0.7019 0.6791  0.06
Cl 0.9773 0.5932 0.1791  0.06
Cl 0.3209 0.7981 0.4141  0.06
Cl 0.0932 0.9141 0.1160  0.06
Cl 0.5932 0.9773 0.6791  0.06
Cl 0.7019 0.5859 0.1791  0.06
Cl 0.7981 0.4773 0.3840  0.06
Cl 0.8209 0.9068 0.0227  0.06
Cl 0.1160 0.7019 0.5227  0.06
Cl 0.3840 0.4068 0.0859  0.06
Cl 0.0859 0.9068 0.3840  0.06
Cl 0.4141 0.1160 0.5932  0.06
Cl 0.0859 0.1791 0.2019  0.06
Cl 0.4773 0.6791 0.0932  0.06
Cl 0.8209 0.9141 0.2981  0.06
Cl 0.1160 0.4141 0.0932  0.06
Cl 0.3840 0.9773 0.7981  0.06
Cl 0.5932 0.6160 0.4141  0.06
Cl 0.9068 0.8209 0.5227  0.06
Cl 0.7981 0.3209 0.9141  0.06
Cl 0.4068 0.3840 0.5859  0.06
Cl 0.0932 0.1791 0.4773  0.06
Cl 0.2019 0.6791 0.0859  0.06
Cl 0.1791 0.0859 0.7019  0.06
Cl 0.6160 0.0227 0.2019  0.06
Cl 0.8840 0.5859 0.9068  0.06
Cl 0.5227 0.3209 0.9068  0.06
Cl 0.5859 0.8840 0.4068  0.06
Cl 0.9141 0.8209 0.7981  0.06
Cl 0.9141 0.0932 0.6160  0.06
Cl 0.8840 0.2981 0.4773  0.06
Cl 0.1791 0.0932 0.9773  0.06
Cl 0.6160 0.5932 0.9141  0.06
Cl 0.4068 0.0227 0.3209  0.06
Cl 0.2981 0.4141 0.8209  0.06
Cl 0.2019 0.5227 0.6160  0.06
Cl 0.9068 0.0859 0.8840  0.06
Cl 0.6791 0.2019 0.5859  0.06
Cl 0.4773 0.7981 0.8840  0.06
Cl 0.0227 0.4068 0.8209  0.06
Cl 0.4141 0.2981 0.3209  0.06
Cl 0.0227 0.6160 0.7019  0.06
Cl 0.6791 0.4773 0.5932  0.06
Cl 0.2981 0.8840 0.9773  0.06

Calculated values
Formation energy without anion corrections (eV per atom): -0.5321

---

- Which formula does entry 1 have?
  Sm7NiCl12